Record 1
A plane-wave DFT calculation with PBE was carried out for a relaxed Tm2Ag4S5 crystal.

Lattice parameters (Å, degrees): 17.5645 17.5645 17.5645 13.15 13.15 13.15
Last column: nearest neighbours and their distance in Å.
Element x y z (fractional)
Tm: 0.1367 0.1367 0.1367  6 S 2.72-2.80
Tm: 0.8633 0.8633 0.8633  6 S 2.72-2.80
Ag: 0.3109 0.3109 0.3109  3 S 2.42
Ag: 0.4151 0.4151 0.4151  1 S 2.43
Ag: 0.5849 0.5849 0.5849  1 S 2.43
Ag: 0.6891 0.6891 0.6891  3 S 2.42
S: 0.2236 0.2236 0.2236  3 Tm 2.72, 3 Ag 2.74
S: 0.3686 0.3686 0.3686  4 Ag 2.42-2.43
S: 0.5000 0.5000 0.5000  6 Tm 2.80
S: 0.6314 0.6314 0.6314  4 Ag 2.42-2.43
S: 0.7764 0.7764 0.7764  3 Tm 2.72, 3 Ag 2.74

Results
Raw formation energy ... -0.7567 eV/atom
Crystal system ... trigonal
Mass density ... 6.3 g/cm³

=====

Record 2
A plane-wave DFT calculation with PBE was carried out for a relaxed Tm2AgS4 crystal.

Lattice parameters (Å, degrees): 6.5719 5.2573 8.5034 90.00 98.29 90.00
Last column: nearest neighbours and their distance in Å.
Element x y z (fractional)
Tm: 0.1540 0.2500 0.3510  6 S 2.55-2.79
Tm: 0.2410 0.2500 0.9333  8 S 2.74-2.94
Tm: 0.7590 0.7500 0.0667  8 S 2.74-2.94
Tm: 0.8460 0.7500 0.6490  6 S 2.55-2.79
Ag: 0.3493 0.7500 0.5681  3 S 2.50-2.59
Ag: 0.6507 0.2500 0.4319  3 S 2.50-2.59
S: 0.0226 0.7500 0.3770  1 Ag 2.50, 3 Tm 2.73-2.79
S: 0.0931 0.7500 0.9086  4 Tm 2.55-2.80
S: 0.4423 0.5086 0.2040  2 S 2.54-2.72, 1 Ag 2.59, 3 Tm 2.77-2.83
S: 0.4423 0.9914 0.2040  2 S 2.54-2.72, 1 Ag 2.59, 3 Tm 2.77-2.83
S: 0.5577 0.0086 0.7960  2 S 2.54-2.72, 1 Ag 2.59, 3 Tm 2.77-2.83
S: 0.5577 0.4914 0.7960  2 S 2.54-2.72, 1 Ag 2.59, 3 Tm 2.77-2.83
S: 0.9069 0.2500 0.0914  4 Tm 2.55-2.80
S: 0.9774 0.2500 0.6230  1 Ag 2.50, 3 Tm 2.73-2.79

Results
Raw formation energy ... -1.3247 eV/atom
Crystal system ... monoclinic
Mass density ... 6.6 g/cm³

=====

Record 3
A plane-wave DFT calculation with PBE was carried out for a relaxed TmAg2S3 crystal.

Lattice parameters (Å, degrees): 7.3764 7.3764 5.1897 90.00 90.00 114.86
Last column: nearest neighbours and their distance in Å.
Element x y z (fractional)
Tm: 0.2434 0.7566 0.7500  2 S 2.67
Tm: 0.7566 0.2434 0.2500  2 S 2.67
Ag: 0.2788 0.2788 0.0000  4 S 2.51-2.74, 2 Ag 2.59
Ag: 0.2788 0.2788 0.5000  4 S 2.51-2.74, 2 Ag 2.59
Ag: 0.7212 0.7212 0.0000  4 S 2.51-2.74, 2 Ag 2.59
Ag: 0.7212 0.7212 0.5000  4 S 2.51-2.74, 2 Ag 2.59
S: 0.0321 0.3610 0.7500  2 Ag 2.51, 1 Tm 2.67
S: 0.3610 0.0321 0.2500  2 Ag 2.51, 1 Tm 2.67
S: 0.3671 0.6329 0.2500  4 Ag 2.74, 2 S 2.96, 2 Tm 3.02
S: 0.6329 0.3671 0.7500  4 Ag 2.74, 2 S 2.96, 2 Tm 3.02
S: 0.6390 0.9679 0.7500  2 Ag 2.51, 1 Tm 2.67
S: 0.9679 0.6390 0.2500  2 Ag 2.51, 1 Tm 2.67

Results
Raw formation energy ... -0.5028 eV/atom
Crystal system ... orthorhombic
Mass density ... 6.2 g/cm³

=====

Number 2 is which compound?
Tm2AgS4